The following is a DFT calculation (PBE) of a relaxed structure of Tb2PmRh.

Unit cell a=3.6944 b=3.6944 c=31.7590 alpha=90.00 beta=90.00 gamma=120.00
Closest atoms and distances in Å follow each position.
Space group R-3m (No. 166, hexagonal axes)
Asymmetric unit:
Tb1 0.0000 0.0000 0.1123  3 Rh 2.74
Pm1 0.0000 0.0000 0.0000  2 Tb 3.57, 6 Pm 3.69
Rh1 0.0000 0.0000 0.5000  6 Tb 2.74

Properties
calculated volume: 31.3 Å³/atom
DFT formation energy: -0.17 eV per atom
total magnetization: 0.0548 μB per atom
energy: -66.1 eV/cell